Entry 1:
# Nd2ScI

Nd2ScI after structural relaxation (GGA-PBE, Alexandria).

The structure in POSCAR format:
```
Nd2ScI
1.0
-2.783 2.204 -0.969
-2.322 -2.849 0.191
-1.611 1.916 8.983
Nd Sc I
2 1 1
Cartesian
-1.213 1.443 6.766 Nd
-0.398 0.473 2.217 Nd
-2.553 -0.322 -0.389 Sc
-3.358 0.636 4.102 I
```


Entry 2:
# Nd4Se4I3

Nd4Se4I3 after structural relaxation (GGA-PBE, Alexandria).

The structure in POSCAR format:
```
Nd4Se4I3
1.0
4.415 0.000 0.000
0.000 8.714 0.000
-2.208 -4.357 8.524
Nd Se I
4 4 3
Cartesian
2.208 6.818 0.000 Nd
2.208 0.000 4.584 Nd
2.208 1.896 0.000 Nd
0.000 4.357 3.940 Nd
2.208 6.112 2.870 Se
0.000 -1.755 5.654 Se
0.000 1.755 5.654 Se
2.208 2.602 2.870 Se
0.000 4.357 0.000 I
2.208 4.357 6.832 I
0.000 0.000 1.691 I
```


Entry 3:
# Nd4SeI5

Nd4SeI5 after structural relaxation (GGA-PBE, Alexandria).

The structure in POSCAR format:
```
Nd4SeI5
1.0
-4.160 0.928 0.314
-1.589 -4.518 -7.695
1.073 -7.300 6.697
Se I Nd
1 5 4
Cartesian
-2.080 0.464 0.157 Se
-2.875 -1.795 -3.690 I
-3.811 -7.120 -0.363 I
-1.645 -6.050 -3.910 I
-3.031 -4.839 3.226 I
-0.865 -3.769 -0.321 I
-3.420 -7.302 5.353 Nd
-2.486 -1.870 1.670 Nd
-1.256 -3.587 -6.037 Nd
-2.190 -9.019 -2.354 Nd
```


Entry 4:
# NdSeI

NdSeI after structural relaxation (GGA-PBE, Alexandria).

The structure in POSCAR format:
```
NdSeI
1.0
-3.386 0.567 3.952
-3.139 -3.967 1.347
0.786 -2.547 4.506
Nd I Se
1 1 1
Cartesian
-1.435 -1.487 2.451 Nd
-2.869 -2.974 4.902 I
0.000 0.000 0.000 Se
```


Entry 5:
# Nd3SeI7

Nd3SeI7 after structural relaxation (GGA-PBE, Alexandria).

The structure in POSCAR format:
```
Nd3SeI7
1.0
7.748 0.000 0.000
0.000 7.801 -4.504
0.000 0.000 9.008
I Nd Se
7 3 1
Cartesian
0.108 1.313 2.274 I
4.270 2.658 0.000 I
4.270 6.472 2.202 I
0.108 1.313 6.734 I
0.108 5.175 4.504 I
4.270 6.472 -2.202 I
0.113 5.201 0.000 I
5.987 3.838 6.648 Nd
5.987 0.124 4.504 Nd
5.987 3.838 2.359 Nd
4.553 2.600 4.504 Se
```


Entry 6:
# NdSeI

NdSeI after structural relaxation (GGA-PBE, Alexandria).

The structure in POSCAR format:
```
NdSeI
1.0
-0.253 -1.328 -3.572
-1.357 -3.314 1.328
-5.824 4.846 0.652
I Se Nd
1 1 1
Cartesian
-0.421 0.160 -0.030 I
-3.729 1.420 -0.264 Se
-3.282 -1.377 -1.298 Nd
```


| no. | volume (A^3/atom) | E (eV per atom) |
| --- | --- | --- |
| 1 | 31.6 | -4.669 |
| 2 | 29.8 | -4.954 |
| 3 | 36.7 | -4.404 |
| 4 | 33.8 | -4.686 |
| 5 | 49.5 | -4.073 |
| 6 | 34.6 | -4.694 |